Entry from Alexandria: crystalline PmNd3Al at its relaxed geometry (PBE-GGA).

Calculated values
Energy relative to the elements in meV per atom: 85
Volume in Å³ per cell: 336.7
Total DFT energy (no corrections) in eV per atom: -4.47
Polymorph energy (0 for the lowest one) in eV/atom: 0.1959
Magnetization in μB/atom: 0.0000

a = 5.314 Å, b = 9.566 Å, c = 6.623 Å
α = 90.00°, β = 90.00°, γ = 90.00°
Space group Amm2 (No. 38)
Unique sites:
Pm 0.000 0.000 0.000 x2
Nd 0.000 0.000 0.531 x2
Nd 0.500 0.185 0.262 x4
Al 0.500 0.000 0.769 x2